1.
Crystalline CaP2Au at its relaxed geometry, computed with PBE-GGA.

```
CaP2Au
1.0
-1.283 -1.217 -3.508
0.681 -4.166 1.196
-4.687 -0.620 1.930
P Au Ca
2 1 1
Cartesian
-2.307 -1.778 1.461
-4.384 -1.234 2.032
-1.643 -1.805 -0.972
-3.646 -4.198 0.591
```

For the relative energy among the computed polymorphs, the calculation gives 0.0 meV per atom. The value obtained for the raw total energy is -4.559 eV per atom.

2.
Crystalline Ca3P3Au at its relaxed geometry, computed with PBE-GGA.

```
Ca3P3Au
1.0
-1.161 3.679 4.337
-4.225 -6.179 4.111
8.367 1.068 1.333
P Ca Au
6 6 2
Cartesian
-1.313 -1.309 2.701
4.295 -0.123 7.080
0.948 1.263 5.008
2.034 -2.695 4.773
4.655 3.094 4.447
-1.674 -4.526 5.334
5.306 1.286 2.271
-2.324 -2.719 7.510
4.865 -2.023 4.960
1.514 -0.884 6.981
-1.883 0.591 4.821
1.468 -0.548 2.800
3.299 1.411 5.512
-0.318 -2.844 4.269
```

The value obtained for the raw total energy is -4.386 eV per atom.

Looking at E_form for the records above, in order, we have -0.53 -0.74 eV per atom.